Record 1
A relaxed structure of Dy2CuSe3. Source: OQMD via LeMat-Bulk, functional PBE.

Calculated values
Theoretical density: 7.72 g/cm³
Crystal system: orthorhombic
Size of the total moment: 0.0 μB/f.u.
Final energy: -5.271 eV per atom

Structure (CIF):
```
data_Dy2CuSe3
_cell_length_a 10.4505
_cell_length_b 3.8910
_cell_length_c 13.2380
_cell_angle_alpha 90.00
_cell_angle_beta 90.00
_cell_angle_gamma 90.00
_symmetry_space_group_name_H-M 'P 1'
_symmetry_Int_Tables_number 1
_symmetry_space_group_name_Hall 'P 1'
loop_
_atom_site_label
_atom_site_fract_x
_atom_site_fract_y
_atom_site_fract_z
Se1 0.7659 0.7500 0.6533
Dy1 0.7197 0.2500 0.4838
Se2 0.0999 0.2500 0.5985
Se3 0.9518 0.2500 0.8943
Dy2 0.5190 0.7500 0.7559
Se4 0.4001 0.7500 0.0985
Dy3 0.7803 0.7500 0.9838
Dy4 0.0190 0.7500 0.7441
Cu1 0.7672 0.2500 0.7735
Se5 0.9001 0.7500 0.4015
Se6 0.5482 0.7500 0.3943
Cu2 0.2328 0.7500 0.2265
Dy5 0.2197 0.2500 0.0162
Dy6 0.4810 0.2500 0.2441
Se7 0.2659 0.7500 0.8467
Cu3 0.7328 0.7500 0.2735
Se8 0.0482 0.7500 0.1057
Dy7 0.9810 0.2500 0.2559
Dy8 0.2803 0.7500 0.5162
Se9 0.2341 0.2500 0.3467
Cu4 0.2672 0.2500 0.7265
Se10 0.5999 0.2500 0.9015
Se11 0.7341 0.2500 0.1533
Se12 0.4518 0.2500 0.6057
```

Record 2
A relaxed structure of DyCu3Se4. Source: OQMD via LeMat-Bulk, functional PBE.

Calculated values
Theoretical density: 5.85 g/cm³
Crystal system: tetragonal
Size of the total moment: 0.1 μB/f.u.
Final energy: -4.256 eV per atom

Structure (CIF):
```
data_DyCu3Se4
_cell_length_a 7.0195
_cell_length_b 7.0195
_cell_length_c 7.0195
_cell_angle_alpha 131.49
_cell_angle_beta 131.49
_cell_angle_gamma 71.04
_symmetry_space_group_name_H-M 'P 1'
_symmetry_Int_Tables_number 1
_symmetry_space_group_name_Hall 'P 1'
loop_
_atom_site_label
_atom_site_fract_x
_atom_site_fract_y
_atom_site_fract_z
Se1 0.1397 0.5848 0.0000
Se2 0.5848 0.1397 0.0000
Cu1 0.7500 0.2500 0.5000
Cu2 0.5000 0.5000 0.0000
Cu3 0.2500 0.7500 0.5000
Se3 0.4152 0.4152 0.5549
Se4 0.8603 0.8603 0.4451
Dy1 0.0000 0.0000 0.0000
```

Record 3
A relaxed structure of Dy3CuSiSe7. Source: OQMD via LeMat-Bulk, functional PBE.

Calculated values
Theoretical density: 6.76 g/cm³
Crystal system: hexagonal
Size of the total moment: 0.0 μB/f.u.
Final energy: -5.260 eV per atom

Structure (CIF):
```
data_Dy3CuSiSe7
_cell_length_a 10.3391
_cell_length_b 10.3388
_cell_length_c 6.0108
_cell_angle_alpha 90.00
_cell_angle_beta 90.00
_cell_angle_gamma 120.00
_symmetry_space_group_name_H-M 'P 1'
_symmetry_Int_Tables_number 1
_symmetry_space_group_name_Hall 'P 1'
loop_
_atom_site_label
_atom_site_fract_x
_atom_site_fract_y
_atom_site_fract_z
Se1 0.9015 0.7382 0.7119
Se2 0.0985 0.2618 0.2119
Se3 0.1632 0.9014 0.2119
Dy1 0.2239 0.8682 0.7404
Se4 0.1003 0.5795 0.4843
Dy2 0.1318 0.3557 0.7404
Se5 0.7382 0.8368 0.2119
Se6 0.6666 0.3333 0.4497
Cu1 0.0000 0.0000 0.1895
Se7 0.3334 0.6667 0.9497
Dy3 0.6443 0.7761 0.7404
Dy4 0.8682 0.6443 0.2404
Cu2 0.0000 0.0000 0.6895
Si1 0.3334 0.6667 0.3284
Se8 0.8368 0.0986 0.7119
Se9 0.4792 0.8997 0.4843
Se10 0.8997 0.4205 0.9843
Se11 0.5795 0.4792 0.9843
Se12 0.5208 0.1003 0.9843
Dy5 0.3557 0.2239 0.2404
Dy6 0.7761 0.1318 0.2404
Si2 0.6666 0.3333 0.8284
Se13 0.4205 0.5208 0.4843
Se14 0.2618 0.1632 0.7119
```

Record 4
A relaxed structure of SmDyCuSe3. Source: OQMD via LeMat-Bulk, functional PBE.

Calculated values
Theoretical density: 7.42 g/cm³
Crystal system: orthorhombic
Size of the total moment: 0.0 μB/f.u.
Final energy: -5.320 eV per atom

Structure (CIF):
```
data_SmDyCuSe3
_cell_length_a 6.9257
_cell_length_b 6.9257
_cell_length_c 10.4739
_cell_angle_alpha 90.00
_cell_angle_beta 90.00
_cell_angle_gamma 146.86
_symmetry_space_group_name_H-M 'P 1'
_symmetry_Int_Tables_number 1
_symmetry_space_group_name_Hall 'P 1'
loop_
_atom_site_label
_atom_site_fract_x
_atom_site_fract_y
_atom_site_fract_z
Sm1 0.7325 0.2675 0.2500
Se1 0.1460 0.8540 0.4292
Cu1 0.0250 0.9750 0.2500
Dy1 0.5000 0.5000 0.0000
Sm2 0.2675 0.7325 0.7500
Se2 0.8540 0.1460 0.9292
Se3 0.1460 0.8540 0.0708
Se4 0.5930 0.4070 0.7500
Se5 0.8540 0.1460 0.5708
Dy2 0.5000 0.5000 0.5000
Cu2 0.9750 0.0250 0.7500
Se6 0.4070 0.5930 0.2500
```